Ca7SnN6: PBEsol geometry, meta-GGA SCAN.

- total magnetization (μB per atom) = 0.000
- V (Å³ per cell) = 465.0
- space group = Ibam, No. 72
- raw total energy (eV/atom) = -12.27

Unit cell a=6.305 b=9.158 c=9.158 alpha=79.62 beta=69.86 gamma=69.86
Fractional positions:
Ca (0.716, 0.952, 0.048)
Ca (0.284, 0.048, 0.952)
Ca (0.784, 0.452, 0.548)
Ca (0.216, 0.548, 0.452)
Ca (0.251, 0.405, 0.849)
Ca (0.495, 0.849, 0.405)
Ca (0.249, 0.651, 0.095)
Ca (0.005, 0.095, 0.651)
Ca (0.749, 0.595, 0.151)
Ca (0.505, 0.151, 0.595)
Ca (0.751, 0.349, 0.905)
Ca (0.995, 0.905, 0.349)
Ca (0.750, 0.750, 0.750)
Ca (0.250, 0.250, 0.250)
Sn (0.250, 0.750, 0.750)
Sn (0.750, 0.250, 0.250)
N (0.974, 0.708, 0.938)
N (0.380, 0.938, 0.708)
N (0.526, 0.562, 0.792)
N (0.120, 0.792, 0.562)
N (0.026, 0.292, 0.062)
N (0.620, 0.062, 0.292)
N (0.474, 0.438, 0.208)
N (0.880, 0.208, 0.438)
N (0.120, 0.348, 0.652)
N (0.880, 0.652, 0.348)
N (0.380, 0.848, 0.152)
N (0.620, 0.152, 0.848)

***

SrCaTeN2: PBEsol geometry, meta-GGA SCAN.

- total magnetization (μB per atom) = 0.800
- V (Å³ per cell) = 129.3
- space group = P4/mmm, No. 123
- raw total energy (eV/atom) = -17.39

Unit cell a=4.658 b=4.658 c=5.960 alpha=90.00 beta=90.00 gamma=90.00
Fractional positions:
Sr (0.500, 0.500, 0.500)
Ca (0.000, 0.000, 0.000)
Te (0.000, 0.000, 0.500)
N (0.000, 0.500, 0.000)
N (0.500, 0.000, 0.000)

***

CaTaN3: PBEsol geometry, meta-GGA SCAN.

- total magnetization (μB per atom) = 0.397
- V (Å³ per cell) = 66.6
- space group = Pm-3m, No. 221
- raw total energy (eV/atom) = -21.54

Unit cell a=4.054 b=4.054 c=4.054 alpha=90.00 beta=90.00 gamma=90.00
Fractional positions:
Ca (0.500, 0.500, 0.500)
N (0.000, 0.500, 0.000)
N (0.000, 0.000, 0.500)
N (0.500, 0.000, 0.000)
Ta (0.000, 0.000, 0.000)

***

CaTaTe2N: PBEsol geometry, meta-GGA SCAN.

- total magnetization (μB per atom) = 0.000
- V (Å³ per cell) = 121.1
- space group = P4/mmm, No. 123
- raw total energy (eV/atom) = -32.62

Unit cell a=3.923 b=5.556 c=5.556 alpha=90.00 beta=90.00 gamma=90.00
Fractional positions:
N (0.500, 0.000, 0.000)
Ca (0.500, 0.500, 0.500)
Te (0.000, 0.000, 0.500)
Te (0.000, 0.500, 0.000)
Ta (0.000, 0.000, 0.000)

***

CaTcN3: PBEsol geometry, meta-GGA SCAN.

- total magnetization (μB per atom) = 0.000
- V (Å³ per cell) = 294.2
- space group = C2/c, No. 15
- raw total energy (eV/atom) = -15.11

Unit cell a=6.074 b=7.178 c=7.178 alpha=84.08 beta=75.97 gamma=75.97
Fractional positions:
Ca (0.750, 0.316, 0.684)
Ca (0.250, 0.084, 0.916)
Ca (0.750, 0.916, 0.084)
Ca (0.250, 0.684, 0.316)
Tc (0.743, 0.382, 0.199)
Tc (0.243, 0.199, 0.382)
Tc (0.757, 0.801, 0.618)
Tc (0.257, 0.618, 0.801)
N (0.475, 0.336, 0.369)
N (0.659, 0.995, 0.769)
N (0.975, 0.369, 0.336)
N (0.025, 0.631, 0.664)
N (0.841, 0.884, 0.387)
N (0.159, 0.769, 0.995)
N (0.525, 0.664, 0.631)
N (0.841, 0.231, 0.005)
N (0.341, 0.005, 0.231)
N (0.341, 0.387, 0.884)
N (0.159, 0.116, 0.613)
N (0.659, 0.613, 0.116)

***

CaTc3N: PBEsol geometry, meta-GGA SCAN.

- total magnetization (μB per atom) = 0.439
- V (Å³ per cell) = 89.7
- space group = Pm-3m, No. 221
- raw total energy (eV/atom) = -20.89

Unit cell a=4.476 b=4.476 c=4.476 alpha=90.00 beta=90.00 gamma=90.00
Fractional positions:
Ca (0.000, 0.000, 0.000)
Tc (0.000, 0.500, 0.000)
Tc (0.000, 0.000, 0.500)
Tc (0.500, 0.000, 0.000)
N (0.500, 0.500, 0.500)

***

CaTcN3: PBEsol geometry, meta-GGA SCAN.

- total magnetization (μB per atom) = 0.000
- V (Å³ per cell) = 134.5
- space group = C2/m, No. 12
- raw total energy (eV/atom) = -15.09

Unit cell a=3.603 b=6.323 c=6.403 alpha=105.24 beta=90.00 gamma=106.55
Fractional positions:
Ca (0.379, 0.759, 0.672)
Ca (0.621, 0.241, 0.328)
Tc (0.154, 0.309, 0.849)
Tc (0.846, 0.691, 0.151)
N (0.157, 0.314, 0.579)
N (0.680, 0.360, 0.990)
N (0.998, 0.996, 0.099)
N (0.843, 0.686, 0.421)
N (0.002, 0.004, 0.901)
N (0.320, 0.640, 0.010)

***

Ca2TlTcN: PBEsol geometry, meta-GGA SCAN.

- total magnetization (μB per atom) = 0.001
- V (Å³ per cell) = 121.2
- space group = P4/mmm, No. 123
- raw total energy (eV/atom) = -27.06

Unit cell a=3.767 b=5.672 c=5.672 alpha=90.00 beta=90.00 gamma=90.00
Fractional positions:
Tl (0.500, 0.500, 0.500)
Ca (0.000, 0.000, 0.500)
Ca (0.000, 0.500, 0.000)
Tc (0.000, 0.000, 0.000)
N (0.500, 0.000, 0.000)

***

Please write out number 7 again, unchanged.
CaTcN3: PBEsol geometry, meta-GGA SCAN.

- total magnetization (μB per atom) = 0.000
- V (Å³ per cell) = 134.5
- space group = C2/m, No. 12
- raw total energy (eV/atom) = -15.09

Unit cell a=3.603 b=6.323 c=6.403 alpha=105.24 beta=90.00 gamma=106.55
Fractional positions:
Ca (0.379, 0.759, 0.672)
Ca (0.621, 0.241, 0.328)
Tc (0.154, 0.309, 0.849)
Tc (0.846, 0.691, 0.151)
N (0.157, 0.314, 0.579)
N (0.680, 0.360, 0.990)
N (0.998, 0.996, 0.099)
N (0.843, 0.686, 0.421)
N (0.002, 0.004, 0.901)
N (0.320, 0.640, 0.010)

***

Q: Which value of raw total energy does entry 5 give?
A: -15.11 eV/atom

***

Q: Which formula does entry 8 have?
A: Ca2TlTcN

***

Q: The highest raw total energy belongs to which entry?
A: Ca7SnN6